## P
Entry from OQMD: SmGePO after structural relaxation (PBE-GGA).

* SG: P4/nmm

a b c (Å): 5.6894 5.6894 4.8071
angles (deg): 90.00 90.00 90.00
Last column: nearest neighbours and their distance in Å.
Atoms (fractional coordinates):
Sm 0.2500 0.7500 0.0000  2 O 2.40
Sm 0.7500 0.2500 0.0000  2 O 2.40
Ge 0.2500 0.2500 0.4983  2 P 2.40
Ge 0.7500 0.7500 0.5017  2 P 2.40
P 0.2500 0.2500 0.9981  2 Ge 2.40
P 0.7500 0.7500 0.0019  2 Ge 2.40
O 0.2500 0.7500 0.5000  2 Sm 2.40
O 0.7500 0.2500 0.5000  2 Sm 2.40

## Q
Entry from OQMD: SmGePO after structural relaxation (PBE-GGA).

* SG: Pmc2_1

a b c (Å): 3.8188 6.0971 6.9659
angles (deg): 90.00 90.00 90.00
Last column: nearest neighbours and their distance in Å.
Atoms (fractional coordinates):
Sm 0.0000 0.2282 0.0000  2 O 2.26
Sm 0.0000 0.7718 0.5000  2 O 2.26
Ge 0.5000 0.3856 0.5962  1 O 1.89
Ge 0.5000 0.6144 0.0962  1 O 1.89
P 0.0000 0.2423 0.4209  2 Ge 2.43
P 0.0000 0.7577 0.9209  2 Ge 2.43
O 0.5000 0.2217 0.8261  1 Ge 1.89
O 0.5000 0.7783 0.3261  1 Ge 1.89

How do the energies compare? Relative to the most stable structure, in eV/atom: P 0.292; Q 0.000.